1.
## Pm2HoLu (PBE-GGA)

Data for Pm2HoLu after structural relaxation.

## Properties
Calculated total energy, eV per cell: -18.51
Energy relative to the elements, eV per atom: 0.0218

Geometry as POSCAR:
```
Pm2HoLu
1.0
5.078 0.000 0.000
0.000 5.078 0.000
0.000 0.000 4.986
Pm Ho Lu
2 1 1
Direct
0.000 0.500 0.000
0.500 0.000 0.000
0.000 0.000 0.500
0.500 0.500 0.500
```



2.
## BeNbReGe2 (PBE-GGA)

Data for BeNbReGe2 after structural relaxation.

## Properties
Calculated total energy, eV per cell: -31.64
Energy relative to the elements, eV per atom: 0.7677

Geometry as POSCAR:
```
BeNbReGe2
1.0
4.359 0.000 0.000
0.000 4.359 0.000
0.000 0.000 4.079
Be Nb Re Ge
1 1 1 2
Direct
0.000 0.000 0.000
0.500 0.500 0.500
0.000 0.000 0.500
0.000 0.500 0.000
0.500 0.000 0.000
```



3.
## ReMoS (PBE-GGA)

Data for ReMoS after structural relaxation.

## Properties
Calculated total energy, eV per cell: -54.86
Raw formation energy, meV/atom: -8.3

Geometry as POSCAR:
```
ReMoS
1.0
2.935 0.000 0.000
0.000 2.935 0.000
0.000 0.000 9.888
Re Mo S
2 2 2
Direct
0.250 0.250 0.086
0.750 0.750 0.914
0.250 0.250 0.398
0.750 0.750 0.602
0.250 0.250 0.739
0.750 0.750 0.261
```